# Ho3Tm2Sc2 GGA-PBE relaxed
# - D(E_F): 23.02 states/eV/cell
# - Calculated density: 7.557 g cm⁻³
# - DFT formation energy: 0.0391 eV/atom
# - E: -5.01 eV/atom
data_Ho3Tm2Sc2
_space_group_name_H-M_alt 'C m m m'
_space_group_IT_number 65
_space_group_name_Hall '-C 2 2'
_cell_length_a 5.1445
_cell_length_b 23.0830
_cell_length_c 3.4142
_cell_angle_alpha 90.00
_cell_angle_beta 90.00
_cell_angle_gamma 90.00
loop_
_atom_site_label
_atom_site_type_symbol
_atom_site_fract_x
_atom_site_fract_y
_atom_site_fract_z
_atom_site_occupancy
Ho1 Ho 0.0000 0.0000 0.0000 1
Ho2 Ho 0.0000 0.1557 0.0000 1
Tm1 Tm 0.0000 0.4254 0.5000 1
Sc1 Sc 0.0000 0.2841 0.5000 1